DFT (PBE with a Hubbard U) results for a relaxed Ac3VCu2O9 crystal.

```
Ac3VCu2O9
1.0
5.6305 0.0000 0.0000
-2.8153 4.8762 0.0000
0.0000 0.0000 6.9089
Ac V Cu O
3 1 2 9
Cartesian
0.0000 0.0000 0.0000
0.0000 3.2508 4.7636
2.8153 1.6254 2.1453
0.0000 0.0000 3.4545
0.0000 3.2508 1.1732
2.8153 1.6254 5.7357
-1.4076 2.4381 0.0000
0.0000 1.5457 2.3539
-1.4767 4.1034 2.3539
1.3386 0.7728 4.5550
2.8153 0.0000 0.0000
1.4076 2.4381 0.0000
1.4767 4.1034 2.3539
4.2920 0.7728 4.5550
2.8153 3.3305 4.5550
```

Properties
Crystal system = trigonal
Total DFT energy (no corrections) = -7.14 eV per atom
ρ = 8.78 Mg/m³